Entry from Alexandria via LeMat-Bulk: a geometry-optimized Rb2SiAs2 structure (PBE).

Cell: 7.8400 11.3571 3.5806 Å, 90.00 90.00 90.00°
Positions (direct):
Rb1 0.0786 0.1693 0.0000
Rb2 0.4214 0.6693 0.0000
Rb3 0.5786 0.3307 0.0000
Rb4 0.9214 0.8307 0.0000
Si1 0.0000 0.5000 0.0000
Si2 0.5000 0.0000 0.0000
As1 0.1944 0.4359 0.5000
As2 0.3056 0.9359 0.5000
As3 0.6944 0.0641 0.5000
As4 0.8056 0.5641 0.5000

Output
Symmetry = Pbam (55)
Electronic total energy = -3.49 eV per atom
Uncorrected formation energy = -0.157 eV per atom